Entry 1:
## V2Pd2Pt (PBE-GGA)

Data for a relaxed V2Pd2Pt crystal.

## Properties
Its polymorph energy (0 for the lowest one) is 0 meV per atom. As for the space-group type: Cmmm. The calculation puts the energy relative to the elements at -1.62 eV/f.u.

```
5
Lattice="-2.699 0.291 0.173 -0.123 -2.134 1.681 1.099 5.037 8.675" Properties=species:S:1:pos:R:3 pbc="T T T"
V -1.185 0.265 2.450
Pt 0.000 0.000 0.000
V -0.537 2.929 8.079
Pd 0.660 2.728 5.712
Pd 0.316 0.175 4.644
```

Entry 2:
## Li2Ca2PrBi2 (PBE-GGA)

Data for a relaxed Li2Ca2PrBi2 crystal.

## Properties
As for the space-group type: R-3m. The calculation puts the energy relative to the elements at -3.85 eV/f.u.

```
7
Lattice="4.891 0.000 0.000 2.445 4.235 0.000 2.445 1.412 9.428" Properties=species:S:1:pos:R:3 pbc="T T T"
Bi 7.336 4.235 7.439
Bi 2.445 1.412 1.989
Li 4.891 2.824 7.186
Ca 7.336 4.235 3.733
Ca 2.445 1.412 5.696
Li 4.891 2.824 2.243
Pr 0.000 0.000 0.000
```

Entry 3:
## Cs2PuMnCl6 (PBE-GGA)

Data for a relaxed Cs2PuMnCl6 crystal.

## Properties
The formation energy without anion corrections is -1.67 eV/atom. As for the space-group type: Pmmn.

```
20
Lattice="-4.196 -0.336 6.338 -4.176 -5.600 -3.061 6.780 -7.298 4.101" Properties=species:S:1:pos:R:3 pbc="T T T"
Cl -1.511 -5.947 -1.315
Cl 2.251 -3.795 3.674
Cl -3.139 -2.944 -0.050
Cl -1.751 -6.633 5.239
Cs 0.652 -3.225 0.261
Cl -5.328 -3.120 3.257
Mn -3.134 -4.202 -2.297
Pu -3.144 -1.571 2.402
Pu 0.260 -7.846 -0.244
Cs 4.040 -6.872 2.310
Cl 2.025 -9.753 0.823
Cl 1.871 -6.962 5.436
Cs -3.536 -6.192 1.897
Cs -0.144 -9.843 3.949
Cl 0.247 -3.955 6.702
Cl -7.326 -5.798 1.794
Cl -1.373 -3.470 3.474
Cl -5.136 -5.622 -1.516
Cl 0.255 -6.472 2.209
Mn 0.250 -5.215 4.456
```

Entry 4:
## AcU2Ru3 (PBE-GGA)

Data for a relaxed AcU2Ru3 crystal.

## Properties
As for the space-group type: C2/c. The calculation puts the energy relative to the elements at -1.36 eV/f.u.

```
12
Lattice="-0.920 1.804 6.367 2.249 -6.106 1.221 5.097 4.208 0.377" Properties=species:S:1:pos:R:3 pbc="T T T"
Ru 4.206 -3.144 2.517
U 3.821 3.413 3.757
U 2.606 -3.507 4.209
U 1.544 -2.450 7.261
Ac 3.962 0.151 5.788
Ru 6.119 -1.189 2.973
Ru 1.101 -1.559 5.125
U 4.883 2.355 0.705
Ru 2.221 3.050 5.449
Ac 2.465 -0.245 2.178
Ru 0.308 1.095 4.992
Ru 5.326 1.465 2.841
```

| no. | E (eV per formula unit) |
| --- | --- |
| 1 | -36.3 |
| 2 | -24.2 |
| 3 | -53.0 |
| 4 | -55.9 |